First-principles (PBE) data for an optimized crystal structure of CaTaW2, as listed in the Alexandria database.

Structure (CIF):
```
data_CaTaW2
_space_group_name_H-M_alt 'C 1 m 1'
_space_group_IT_number 8
_cell_length_a 9.630
_cell_length_b 2.721
_cell_length_c 5.814
_cell_angle_alpha 90.00
_cell_angle_beta 91.12
_cell_angle_gamma 90.00
loop_
_space_group_symop_operation_xyz
'x,y,z'
'x,-y,z'
'x+1/2,y+1/2,z'
'x+1/2,-y+1/2,z'
loop_
_atom_site_label
_atom_site_fract_x
_atom_site_fract_y
_atom_site_fract_z
Ca1 0.000 0.000 0.000
Ta1 0.247 0.000 0.727
W1 0.004 0.500 0.494
W2 0.252 0.500 0.277
```

Values from the calculation:
ΔE to the lowest computed polymorph: 25.9 kJ per mole of atoms
Uncorrected energy: -9.185 eV/atom
Energy of formation from the pure elements: 291 kJ/mol of formula units
Total magnetization: 0.0 Bohr magnetons per cell

=====

First-principles (PBE) data for an optimized crystal structure of Ca4TaW, as listed in the Alexandria database.

Structure (CIF):
```
data_Ca4TaW
_space_group_name_H-M_alt 'F -4 3 m'
_space_group_IT_number 216
_space_group_name_Hall 'F -4 2 3'
_cell_length_a 8.677
_cell_length_b 8.677
_cell_length_c 8.677
_cell_angle_alpha 90.00
_cell_angle_beta 90.00
_cell_angle_gamma 90.00
loop_
_atom_site_label
_atom_site_fract_x
_atom_site_fract_y
_atom_site_fract_z
Ca1 0.125 0.125 0.125
Ta1 0.250 0.250 0.750
W1 0.000 0.000 0.500
```

Values from the calculation:
Uncorrected energy: -3.987 eV/atom
Energy of formation from the pure elements: 858 kJ/mol of formula units
Total magnetization: 0.1 Bohr magnetons per cell

=====

First-principles (PBE) data for an optimized crystal structure of CaTaW2, as listed in the Alexandria database.

Structure (CIF):
```
data_CaTaW2
_space_group_name_H-M_alt 'I m m m'
_space_group_IT_number 71
_space_group_name_Hall '-I 2 2'
_cell_length_a 3.219
_cell_length_b 4.894
_cell_length_c 9.550
_cell_angle_alpha 90.00
_cell_angle_beta 90.00
_cell_angle_gamma 90.00
loop_
_atom_site_label
_atom_site_fract_x
_atom_site_fract_y
_atom_site_fract_z
Ca1 0.000 0.000 0.000
Ta1 0.000 0.000 0.500
W1 0.000 0.500 0.234
```

Values from the calculation:
ΔE to the lowest computed polymorph: 30.1 kJ per mole of atoms
Uncorrected energy: -9.141 eV/atom
Energy of formation from the pure elements: 309 kJ/mol of formula units
Total magnetization: 0.0 Bohr magnetons per cell

=====

First-principles (PBE) data for an optimized crystal structure of CaTaW2, as listed in the Alexandria database.

Structure (CIF):
```
data_CaTaW2
_space_group_name_H-M_alt 'F -4 3 m'
_space_group_IT_number 216
_space_group_name_Hall 'F -4 2 3'
_cell_length_a 6.656
_cell_length_b 6.656
_cell_length_c 6.656
_cell_angle_alpha 90.00
_cell_angle_beta 90.00
_cell_angle_gamma 90.00
loop_
_atom_site_label
_atom_site_fract_x
_atom_site_fract_y
_atom_site_fract_z
Ca1 0.000 0.000 0.000
Ta1 0.250 0.250 0.250
W1 0.000 0.000 0.500
W2 0.250 0.250 0.750
```

Values from the calculation:
ΔE to the lowest computed polymorph: 28.0 kJ per mole of atoms
Uncorrected energy: -9.163 eV/atom
Energy of formation from the pure elements: 300 kJ/mol of formula units
Total magnetization: 0.0 Bohr magnetons per cell

=====

First-principles (PBE) data for an optimized crystal structure of CaTaW, as listed in the Alexandria database.

Structure (CIF):
```
data_CaTaW
_space_group_name_H-M_alt 'F m m 2'
_space_group_IT_number 42
_space_group_name_Hall 'F 2 -2'
_cell_length_a 3.356
_cell_length_b 4.970
_cell_length_c 15.011
_cell_angle_alpha 90.00
_cell_angle_beta 90.00
_cell_angle_gamma 90.00
loop_
_atom_site_label
_atom_site_fract_x
_atom_site_fract_y
_atom_site_fract_z
Ca1 0.000 0.000 0.000
Ta1 0.000 0.000 0.309
W1 0.000 0.000 0.675
```

Values from the calculation:
ΔE to the lowest computed polymorph: 9.0 kJ per mole of atoms
Uncorrected energy: -8.320 eV/atom
Energy of formation from the pure elements: 178 kJ/mol of formula units
Total magnetization: 0.0 Bohr magnetons per cell

=====

First-principles (PBE) data for an optimized crystal structure of CaTa2W, as listed in the Alexandria database.

Structure (CIF):
```
data_CaTa2W
_space_group_name_H-M_alt 'P m m 2'
_space_group_IT_number 25
_cell_length_a 2.777
_cell_length_b 4.743
_cell_length_c 6.263
_cell_angle_alpha 90.00
_cell_angle_beta 90.00
_cell_angle_gamma 90.00
loop_
_space_group_symop_operation_xyz
'x,y,z'
'-x,-y,z'
'-x,y,z'
'x,-y,z'
loop_
_atom_site_label
_atom_site_fract_x
_atom_site_fract_y
_atom_site_fract_z
Ca1 0.000 0.000 0.000
Ta1 0.000 0.000 0.509
Ta2 0.500 0.500 0.296
W1 0.500 0.500 0.708
```

Values from the calculation:
ΔE to the lowest computed polymorph: 23.5 kJ per mole of atoms
Uncorrected energy: -9.009 eV/atom
Energy of formation from the pure elements: 253 kJ/mol of formula units
Total magnetization: 0.0 Bohr magnetons per cell